Material: Sr4MgOs
Method: DFT, PBE
State: optimized geometry

Calculated values
- energy relative to the elements (eV/atom) = 1.1699
- symmetry = F-43m
- DFT total energy (eV/atom) = -2.0887
- density (g cm⁻³) = 4.58

a = 6.6167 Å, b = 6.6167 Å, c = 6.6167 Å
α = 60.00°, β = 60.00°, γ = 60.00°
Positions (direct):
Sr (0.8794, 0.3735, 0.3735)
Mg (0.7500, 0.7500, 0.7500)
Os (0.0000, 0.0000, 0.0000)
Sr (0.3735, 0.8794, 0.3735)
Sr (0.3735, 0.3735, 0.8794)
Sr (0.3735, 0.3735, 0.3735)



Material: CaEr4Se6
Method: DFT, PBE
State: optimized geometry

Calculated values
- symmetry = Cmcm
- ΔE_f (raw) (eV per atom) = -1.84
- DFT total energy (eV/atom) = -5.5801
- density (g cm⁻³) = 7.05

a = 4.0264 Å, b = 6.9530 Å, c = 20.7804 Å
α = 90.00°, β = 90.00°, γ = 106.83°
Positions (direct):
Er (0.5919, 0.1838, 0.8708)
Se (0.5000, 0.0000, 0.0000)
Se (0.3164, 0.6327, 0.2500)
Se (0.6836, 0.3673, 0.7500)
Ca (0.3420, 0.6839, 0.7500)
Er (0.1388, 0.2776, 0.4605)
Se (0.9528, 0.9056, 0.6630)
Se (0.0472, 0.0944, 0.3370)
Ca (0.6580, 0.3161, 0.2500)
Se (0.5000, 0.0000, 0.5000)
Se (0.2302, 0.4605, 0.5874)
Se (0.0472, 0.0944, 0.1630)
Se (0.7698, 0.5395, 0.4126)
Er (0.1388, 0.2776, 0.0395)
Er (0.4081, 0.8162, 0.1292)
Er (0.8612, 0.7224, 0.5395)
Se (0.9528, 0.9056, 0.8370)
Er (0.4081, 0.8162, 0.3708)
Se (0.7698, 0.5395, 0.0874)
Er (0.5919, 0.1838, 0.6292)
Se (0.2302, 0.4605, 0.9126)
Er (0.8612, 0.7224, 0.9605)



Material: Cd2Sn2Ge
Method: DFT, PBE
State: optimized geometry

Calculated values
- energy relative to the elements (eV/atom) = 0.2297
- symmetry = I4/mmm
- DFT total energy (eV/atom) = -2.6609
- ΔE to the lowest computed polymorph (eV/f.u.) = 0.18
- density (g cm⁻³) = 6.76

a = 3.9725 Å, b = 3.9725 Å, c = 8.7827 Å
α = 76.93°, β = 76.93°, γ = 90.00°
Positions (direct):
Sn (0.4084, 0.4084, 0.1832)
Cd (0.7500, 0.2500, 0.5000)
Ge (0.0000, 0.0000, 0.0000)
Sn (0.5916, 0.5916, 0.8168)
Cd (0.2500, 0.7500, 0.5000)